[1]
Crystalline ZnSbBr at its relaxed geometry, computed with PBE.

Unit cell a=4.5414 b=4.5414 c=4.8472 alpha=90.00 beta=90.00 gamma=120.00
With the nearest neighbours (Å) after each atom.
Space group P-6m2 (No. 187)
One atom of each set of equivalent atoms:
Zn (0.0000, 0.0000, 0.0000) x1  3 Sb 2.62
Sb (0.3333, 0.6667, 0.0000) x1  3 Zn 2.62
Br (0.6667, 0.3333, 0.5000) x1  6 Zn 3.57, 6 Sb 3.57

crystal system: hexagonal
magnetic moment: 0.0 μB per formula unit
formation energy from raw total energies: 0.061 eV per atom
E above lowest polymorph: 72 kJ/mol of formula units

***

[2]
Crystalline ZnSb2Br at its relaxed geometry, computed with PBE.

Unit cell a=3.8228 b=6.0039 c=9.7250 alpha=90.00 beta=90.00 gamma=90.00
With the nearest neighbours (Å) after each atom.
Space group Cmm2 (No. 35)
One atom of each set of equivalent atoms:
Zn (0.0000, 0.0000, 0.0000) x2  2 Br 2.54
Sb (0.0000, 0.0000, 0.5477) x2  2 Sb 2.98
Sb (0.0000, 0.5000, 0.7822) x2  2 Zn 2.85, 2 Sb 2.98
Br (0.0000, 0.5000, 0.1716) x2  2 Zn 2.54

crystal system: orthorhombic
magnetic moment: 0.0 μB per formula unit
formation energy from raw total energies: -0.012 eV per atom
E above lowest polymorph: 56 kJ/mol of formula units

***

[3]
Crystalline ZnSb3Br at its relaxed geometry, computed with PBE.

Unit cell a=5.2869 b=5.2869 c=5.2869 alpha=90.00 beta=90.00 gamma=90.00
With the nearest neighbours (Å) after each atom.
Space group Pm-3m (No. 221)
One atom of each set of equivalent atoms:
Zn (0.0000, 0.0000, 0.0000) x1  6 Sb 2.64
Sb (0.0000, 0.0000, 0.5000) x3  2 Zn 2.64
Br (0.5000, 0.5000, 0.5000) x1  12 Sb 3.74

crystal system: cubic
magnetic moment: 0.0 μB per formula unit
formation energy from raw total energies: 0.501 eV per atom
E above lowest polymorph: 0 kJ/mol of formula units

***

[4]
Crystalline Zn2SbBr at its relaxed geometry, computed with PBE.

Unit cell a=4.0669 b=4.0669 c=5.6120 alpha=90.00 beta=90.00 gamma=90.00
With the nearest neighbours (Å) after each atom.
Space group P4/mmm (No. 123)
One atom of each set of equivalent atoms:
Zn (0.0000, 0.0000, 0.0000) x1  2 Sb 2.81, 4 Br 2.88
Zn (0.5000, 0.5000, 0.5000) x1  2 Br 2.81, 4 Sb 2.88
Sb (0.0000, 0.0000, 0.5000) x1  6 Zn 2.81-2.88
Br (0.5000, 0.5000, 0.0000) x1  6 Zn 2.81-2.88

crystal system: tetragonal
magnetic moment: 0.0 μB per formula unit
formation energy from raw total energies: -0.136 eV per atom
E above lowest polymorph: 59 kJ/mol of formula units

***

[5]
Crystalline ZnSbBr at its relaxed geometry, computed with PBE.

Unit cell a=3.4977 b=3.4977 c=7.7622 alpha=90.00 beta=90.00 gamma=120.00
With the nearest neighbours (Å) after each atom.
Space group P3m1 (No. 156)
One atom of each set of equivalent atoms:
Zn (0.0000, 0.0000, 0.0000) x1  3 Br 2.59
Sb (0.6667, 0.3333, 0.7230) x1  3 Zn 2.95
Br (0.3333, 0.6667, 0.2089) x1  3 Zn 2.59

crystal system: trigonal
magnetic moment: 0.0 μB per formula unit
formation energy from raw total energies: -0.189 eV per atom
E above lowest polymorph: 0 kJ/mol of formula units

***

[6]
Crystalline Zn2SbBr at its relaxed geometry, computed with PBE.

Unit cell a=4.0891 b=6.0485 c=7.7849 alpha=90.00 beta=90.00 gamma=90.00
With the nearest neighbours (Å) after each atom.
Space group Cmmm (No. 65)
One atom of each set of equivalent atoms:
Zn (0.0000, 0.0000, 0.2403) x4  2 Sb 2.77, 2 Br 2.88
Sb (0.0000, 0.5000, 0.0000) x2  4 Zn 2.77
Br (0.0000, 0.5000, 0.5000) x2  4 Zn 2.88

crystal system: orthorhombic
magnetic moment: 0.0 μB per formula unit
formation energy from raw total energies: 0.032 eV per atom
E above lowest polymorph: 123 kJ/mol of formula units

***

[7]
Crystalline ZnSbBr2 at its relaxed geometry, computed with PBE.

Unit cell a=7.1017 b=9.4007 c=3.5691 alpha=90.00 beta=117.09 gamma=90.00
With the nearest neighbours (Å) after each atom.
Space group C2/m (No. 12)
One atom of each set of equivalent atoms:
Zn (0.0000, 0.0000, 0.0000) x2  4 Br 2.95
Sb (0.0000, 0.5000, 0.0000) x2  4 Br 2.95
Br (0.2500, 0.2500, 0.0000) x4  2 Sb 2.95, 2 Zn 2.95

crystal system: monoclinic
magnetic moment: 0.0 μB per formula unit
formation energy from raw total energies: 0.029 eV per atom

***

[8]
Crystalline Zn2SbBr at its relaxed geometry, computed with PBE.

Unit cell a=3.8502 b=3.8502 c=14.9921 alpha=90.00 beta=90.00 gamma=90.00
With the nearest neighbours (Å) after each atom.
Space group I-4m2 (No. 119)
One atom of each set of equivalent atoms:
Zn (0.0000, 0.0000, 0.0000) x2  4 Sb 2.72
Zn (0.0000, 0.5000, 0.2500) x2  4 Br 2.72
Sb (0.0000, 0.0000, 0.5000) x2  4 Zn 2.72
Br (0.0000, 0.5000, 0.7500) x2  4 Zn 2.72

crystal system: tetragonal
magnetic moment: 0.0 μB per formula unit
formation energy from raw total energies: 0.157 eV per atom
E above lowest polymorph: 172 kJ/mol of formula units

***

[9]
Crystalline ZnSb2Br at its relaxed geometry, computed with PBE.

Unit cell a=4.2361 b=5.7763 c=9.3262 alpha=90.00 beta=90.00 gamma=90.00
With the nearest neighbours (Å) after each atom.
Space group Amm2 (No. 38)
One atom of each set of equivalent atoms:
Zn (0.0000, 0.0000, 0.0000) x2  4 Sb 2.93-3.01, 2 Br 3.18
Sb (0.0000, 0.0000, 0.5553) x2  2 Sb 2.92, 2 Zn 2.93
Sb (0.5000, 0.0000, 0.7713) x2  2 Br 2.89, 2 Sb 2.92, 2 Zn 3.01
Br (0.5000, 0.0000, 0.2539) x2  2 Sb 2.89, 2 Zn 3.18

crystal system: orthorhombic
magnetic moment: 0.0 μB per formula unit
formation energy from raw total energies: -0.040 eV per atom
E above lowest polymorph: 46 kJ/mol of formula units

***

[10]
Crystalline ZnSbBr2 at its relaxed geometry, computed with PBE.

Unit cell a=7.4096 b=7.4096 c=7.4096 alpha=90.00 beta=90.00 gamma=90.00
With the nearest neighbours (Å) after each atom.
Space group Fm-3m (No. 225)
One atom of each set of equivalent atoms:
Zn (0.0000, 0.0000, 0.0000) x4  8 Br 3.21
Sb (0.0000, 0.0000, 0.5000) x4  8 Br 3.21
Br (0.2500, 0.2500, 0.2500) x8  4 Zn 3.21, 4 Sb 3.21

crystal system: cubic
magnetic moment: 0.0 μB per formula unit
formation energy from raw total energies: 0.203 eV per atom

***

[11]
Crystalline ZrSbBr3 at its relaxed geometry, computed with PBE.

Unit cell a=5.4231 b=5.4231 c=5.4231 alpha=90.00 beta=90.00 gamma=90.00
With the nearest neighbours (Å) after each atom.
Space group Pm-3m (No. 221)
One atom of each set of equivalent atoms:
Zr (0.0000, 0.0000, 0.0000) x1  6 Br 2.71
Sb (0.5000, 0.5000, 0.5000) x1  12 Br 3.83
Br (0.0000, 0.0000, 0.5000) x3  2 Zr 2.71

crystal system: cubic
magnetic moment: 3.1 μB per formula unit
formation energy from raw total energies: -0.333 eV per atom
E above lowest polymorph: 0 kJ/mol of formula units

***

[12]
Crystalline ZrSbBr2 at its relaxed geometry, computed with PBE.

Unit cell a=7.3445 b=7.3445 c=7.3445 alpha=90.00 beta=90.00 gamma=90.00
With the nearest neighbours (Å) after each atom.
Space group F-43m (No. 216)
One atom of each set of equivalent atoms:
Zr (0.0000, 0.0000, 0.0000) x4  4 Br 3.18, 4 Sb 3.18
Sb (0.2500, 0.2500, 0.7500) x4  4 Zr 3.18, 4 Br 3.18
Br (0.0000, 0.0000, 0.5000) x4  4 Sb 3.18, 4 Br 3.18
Br (0.2500, 0.2500, 0.2500) x4  4 Zr 3.18, 4 Br 3.18

crystal system: cubic
magnetic moment: 0.0 μB per formula unit
formation energy from raw total energies: -0.074 eV per atom
E above lowest polymorph: 277 kJ/mol of formula units